1.
The following is a PBE calculation of an optimized crystal structure of SrTa2Mn2, from Alexandria via LeMat-Bulk.

Lattice parameters (Å, degrees): 7.906 7.906 3.020 90.00 90.00 90.00
Space group P4/mbm (No. 127)
Symmetry-distinct sites (fractional):
Sr (0.000, 0.000, 0.000)
Ta (0.137, 0.363, 0.500)
Mn (0.129, 0.629, 0.000)

**Formation energy from the elements**: 0.494 eV/atom
**Excess energy over the best structure of this formula in the dataset**: 7.8 kJ per mole of atoms
**Energy**: -8.25 eV per atom
**Size of the total moment**: 3.9 μB per cell
**Calculated volume**: 18.9 A^3/atom

=====

2.
The following is a PBE calculation of an optimized crystal structure of SrTa2Mn, from Alexandria via LeMat-Bulk.

Lattice parameters (Å, degrees): 5.121 5.121 2.986 90.00 90.00 90.00
Space group P4/mmm (No. 123)
Symmetry-distinct sites (fractional):
Sr (0.000, 0.000, 0.000)
Ta (0.000, 0.500, 0.500)
Mn (0.500, 0.500, 0.000)

**Formation energy from the elements**: 1.283 eV/atom
**Excess energy over the best structure of this formula in the dataset**: 73.8 kJ per mole of atoms
**Energy**: -7.36 eV per atom
**Size of the total moment**: 2.0 μB per cell
**Calculated volume**: 19.6 A^3/atom

=====

3.
The following is a PBE calculation of an optimized crystal structure of SrTa2Mn, from Alexandria via LeMat-Bulk.

Lattice parameters (Å, degrees): 5.308 5.308 15.946 90.00 90.00 90.00
Space group I4_1/amd (No. 141, origin choice 2)
Symmetry-distinct sites (fractional):
Sr (0.000, 0.250, 0.375)
Ta (0.000, 0.000, 0.000)
Mn (0.000, 0.250, 0.875)

**Formation energy from the elements**: 1.357 eV/atom
**Excess energy over the best structure of this formula in the dataset**: 80.9 kJ per mole of atoms
**Energy**: -7.28 eV per atom
**Size of the total moment**: 0.0 μB per cell
**Calculated volume**: 28.1 A^3/atom

=====

Which of these has the lowest size of the total moment? number 3

=====

Among the records above, which one has the highest excess energy over the best structure of this formula in the dataset? number 3